Entry from Alexandria: a PBEsol-optimized structure of CrCuTe2I (SCAN). Values from VASP.

- total magnetic moment (μB/atom) = 0.455
- energy relative to the elements, uncorrected (meV per atom) = 574.2

Structure (Quantum ESPRESSO input):
```
&SYSTEM
  ibrav = 0, nat = 5, ntyp = 4
/
ATOMIC_SPECIES
Cr 52.00 Cr.upf
Cu 63.55 Cu.upf
Te 127.60 Te.upf
I 126.90 I.upf
CELL_PARAMETERS angstrom
5.0284 0.0000 0.0000
0.0000 5.0284 0.0000
0.0000 0.0000 5.5477
ATOMIC_POSITIONS crystal
Cr 0.0000 0.0000 0.0000
Cu 0.5000 0.5000 0.5000
Te 0.0000 0.5000 0.0000
Te 0.5000 0.0000 0.0000
I 0.0000 0.0000 0.5000
```

=====

Entry from Alexandria: a PBEsol-optimized structure of ScBeRh (SCAN). Values from VASP.

- total magnetic moment (μB/atom) = 0.000
- ΔE_f (meV/atom) = -697

Structure (Quantum ESPRESSO input):
```
&SYSTEM
  ibrav = 0, nat = 3, ntyp = 3
/
ATOMIC_SPECIES
Sc 44.96 Sc.upf
Be 9.01 Be.upf
Rh 102.91 Rh.upf
CELL_PARAMETERS angstrom
3.9872 0.0000 0.0000
-1.9936 3.4530 0.0000
0.0000 0.0000 3.1537
ATOMIC_POSITIONS crystal
Sc 0.0000 0.0000 0.0000
Be 0.3333 0.6667 0.5000
Rh 0.6667 0.3333 0.5000
```

=====

Entry from Alexandria: a PBEsol-optimized structure of MnBe2Br (SCAN). Values from VASP.

- energy above the most stable polymorph in this dataset (kJ per mole of atoms) = 0.00
- total magnetic moment (μB/atom) = 0.924
- energy relative to the elements, uncorrected (meV per atom) = 479.5

Structure (Quantum ESPRESSO input):
```
&SYSTEM
  ibrav = 0, nat = 4, ntyp = 3
/
ATOMIC_SPECIES
Mn 54.94 Mn.upf
Be 9.01 Be.upf
Br 79.90 Br.upf
CELL_PARAMETERS angstrom
1.5021 0.8672 6.9740
-1.5021 0.8672 6.9740
0.0000 -1.7344 6.9740
ATOMIC_POSITIONS crystal
Mn 0.0000 0.0000 0.0000
Be 0.2523 0.2523 0.2523
Be 0.7477 0.7477 0.7477
Br 0.5000 0.5000 0.5000
```

=====

Entry from Alexandria: a PBEsol-optimized structure of MgFeCl2 (SCAN). Values from VASP.

- energy above the most stable polymorph in this dataset (kJ per mole of atoms) = 23.01
- total magnetic moment (μB/atom) = 0.697
- energy relative to the elements, uncorrected (meV per atom) = -374.0

Structure (Quantum ESPRESSO input):
```
&SYSTEM
  ibrav = 0, nat = 4, ntyp = 3
/
ATOMIC_SPECIES
Mg 24.30 Mg.upf
Fe 55.84 Fe.upf
Cl 35.45 Cl.upf
CELL_PARAMETERS angstrom
3.1211 -3.8717 0.0000
3.1211 3.8717 0.0000
-1.8141 0.0000 2.9762
ATOMIC_POSITIONS crystal
Mg 0.0000 0.0000 0.0000
Fe 0.5000 0.5000 0.0000
Cl 0.0000 0.5000 0.0000
Cl 0.5000 0.0000 0.0000
```

=====

Entry from Alexandria: a PBEsol-optimized structure of OsAuO2 (SCAN). Values from VASP.

- energy above the most stable polymorph in this dataset (kJ per mole of atoms) = 130.25
- total magnetic moment (μB/atom) = 0.000
- energy relative to the elements, uncorrected (meV per atom) = 1031.5

Structure (Quantum ESPRESSO input):
```
&SYSTEM
  ibrav = 0, nat = 4, ntyp = 3
/
ATOMIC_SPECIES
Os 190.23 Os.upf
Au 196.97 Au.upf
O 16.00 O.upf
CELL_PARAMETERS angstrom
0.0000 2.8113 2.8113
2.8113 0.0000 2.8113
2.8113 2.8113 0.0000
ATOMIC_POSITIONS crystal
Os 0.0000 0.0000 0.0000
Au 0.5000 0.5000 0.5000
O 0.2500 0.2500 0.2500
O 0.7500 0.7500 0.7500
```

=====

Entry from Alexandria: a PBEsol-optimized structure of LiCaPt2 (SCAN). Values from VASP.

- total magnetic moment (μB/atom) = 0.000
- ΔE_f (meV/atom) = -540

Structure (Quantum ESPRESSO input):
```
&SYSTEM
  ibrav = 0, nat = 4, ntyp = 3
/
ATOMIC_SPECIES
Li 6.94 Li.upf
Ca 40.08 Ca.upf
Pt 195.08 Pt.upf
CELL_PARAMETERS angstrom
2.8278 0.0000 0.0000
0.0000 4.1766 0.0000
0.0000 0.0000 5.7062
ATOMIC_POSITIONS crystal
Li 0.0000 0.0000 0.0000
Ca 0.5000 0.5000 0.6772
Pt 0.0000 0.0000 0.4309
Pt 0.5000 0.5000 0.1728
```

=====

Entry from Alexandria: a PBEsol-optimized structure of NaFe3Pt (SCAN). Values from VASP.

- energy above the most stable polymorph in this dataset (kJ per mole of atoms) = 100.55
- total magnetic moment (μB/atom) = 1.808
- ΔE_f (meV/atom) = 1725

Structure (Quantum ESPRESSO input):
```
&SYSTEM
  ibrav = 0, nat = 5, ntyp = 3
/
ATOMIC_SPECIES
Na 22.99 Na.upf
Fe 55.84 Fe.upf
Pt 195.08 Pt.upf
CELL_PARAMETERS angstrom
4.2098 0.0000 0.0000
0.0000 4.2098 0.0000
0.0000 0.0000 4.2098
ATOMIC_POSITIONS crystal
Na 0.0000 0.0000 0.0000
Fe 0.0000 0.0000 0.5000
Fe 0.0000 0.5000 0.0000
Fe 0.5000 0.0000 0.0000
Pt 0.5000 0.5000 0.5000
```

=====

Entry from Alexandria: a PBEsol-optimized structure of BaSr2As (SCAN). Values from VASP.

- total magnetic moment (μB/atom) = 0.206
- ΔE_f (meV/atom) = -706

Structure (Quantum ESPRESSO input):
```
&SYSTEM
  ibrav = 0, nat = 4, ntyp = 3
/
ATOMIC_SPECIES
Ba 137.33 Ba.upf
Sr 87.62 Sr.upf
As 74.92 As.upf
CELL_PARAMETERS angstrom
4.3626 0.0000 0.0000
0.0000 2.5212 7.8258
0.0000 -2.5212 7.8258
ATOMIC_POSITIONS crystal
Ba 0.0000 0.0000 0.0000
Sr 0.0000 0.6828 0.6828
Sr 0.5000 0.3436 0.3436
As 0.5000 0.5408 0.5408
```

=====

How do the records compare in VASP energy? In the order shown, they have -28.39; -18.15; -11.13; -10.14; -37.34; -38.65; -24.03; -26.78 eV/atom.
How do the records compare in density of states at the Fermi level? In the order shown, they have 4.5; 1.6; 2.0; 1.7; 3.8; 1.2; 5.1; 1.8 states/eV/cell.